(1)
NaSrIn2Br5 | PBE-GGA | optimized geometry

Cell lengths 9.8489, 9.8489, 14.9900 Å; angles 90.00, 90.00, 153.18 degrees
Fractional positions:
Na  0.0377  0.9623  0.5000
Na  0.9623  0.0377  0.0000
Sr  0.2751  0.7249  0.0643
Sr  0.7249  0.2751  0.5643
In  0.3777  0.6223  0.3212
In  0.4088  0.5912  0.7086
In  0.5912  0.4088  0.2086
In  0.6223  0.3777  0.8212
Br  0.0082  0.9918  0.8187
Br  0.1166  0.8834  0.0530
Br  0.1914  0.8086  0.4362
Br  0.2336  0.7664  0.7045
Br  0.4326  0.5674  0.1102
Br  0.5674  0.4326  0.6102
Br  0.7664  0.2336  0.2045
Br  0.8086  0.1914  0.9362
Br  0.8834  0.1166  0.5530
Br  0.9918  0.0082  0.3187

Summary:
**Final energy**: -0.2349 Ry per atom
**ΔE_f (raw)**: -1.324 eV/atom
**Calculated volume**: 36.45 Å³/atom
**Magnetic moment**: 0.00 μB/atom
**Space group**: Cmc2_1 (36)

=====

(2)
NaSr2InBr6 | PBE-GGA | optimized geometry

Cell lengths 8.3470, 8.3470, 8.3470 Å; angles 56.40, 56.40, 56.40 degrees
Fractional positions:
Na  0.0000  0.0000  0.0000
Sr  0.3072  0.3072  0.3072
Sr  0.8010  0.8010  0.8010
In  0.5096  0.5096  0.5096
Br  0.0815  0.4018  0.7078
Br  0.1722  0.9356  0.5941
Br  0.4018  0.7078  0.0815
Br  0.5941  0.1722  0.9356
Br  0.7078  0.0815  0.4018
Br  0.9356  0.5941  0.1722

Summary:
**Final energy**: -0.2533 Ry per atom
**ΔE_f (raw)**: -1.700 eV/atom
**Calculated volume**: 37.71 Å³/atom
**Magnetic moment**: 0.00 μB/atom
**Space group**: R3 (146)

=====

(3)
NaSrInBr4 | PBE-GGA | optimized geometry

Cell lengths 9.2578, 9.2578, 9.2578 Å; angles 120.50, 119.75, 89.78 degrees
Fractional positions:
Na  0.5000  0.0000  0.0000
Na  0.5000  0.5000  0.5000
Sr  0.0000  0.0000  0.0000
Sr  0.5000  0.0000  0.5000
In  0.1117  0.3617  0.7500
In  0.8883  0.6383  0.2500
Br  0.2612  0.2330  0.4718
Br  0.2612  0.7894  0.0282
Br  0.2658  0.2321  0.0337
Br  0.3016  0.7679  0.5337
Br  0.6984  0.2321  0.4663
Br  0.7342  0.7679  0.9663
Br  0.7388  0.2106  0.9718
Br  0.7388  0.7670  0.5282

Summary:
**Final energy**: -0.2420 Ry per atom
**ΔE_f (raw)**: -1.517 eV/atom
**Calculated volume**: 40.00 Å³/atom
**Magnetic moment**: 0.00 μB/atom
**Space group**: Imma (74)

=====

(4)
NaTbIn2Br6 | PBE-GGA | optimized geometry

Cell lengths 8.0644, 8.0644, 8.0644 Å; angles 58.96, 58.96, 58.96 degrees
Fractional positions:
Na  0.0000  0.0000  0.0000
Tb  0.4943  0.4943  0.4943
In  0.2832  0.2832  0.2832
In  0.7887  0.7887  0.7887
Br  0.1575  0.7128  0.3489
Br  0.2397  0.6505  0.8205
Br  0.3489  0.1575  0.7128
Br  0.6505  0.8205  0.2397
Br  0.7128  0.3489  0.1575
Br  0.8205  0.2397  0.6505

Summary:
**Final energy**: -0.2555 Ry per atom
**ΔE_f (raw)**: -1.330 eV/atom
**Calculated volume**: 36.21 Å³/atom
**Magnetic moment**: 0.00 μB/atom
**Space group**: R3 (146)

=====

(5)
NaInTcBr2 | PBE-GGA | optimized geometry

Cell lengths 5.8525, 5.8525, 6.0096 Å; angles 90.00, 90.00, 90.00 degrees
Fractional positions:
Na  0.0000  0.0000  0.0000
In  0.0000  0.0000  0.5000
Tc  0.5000  0.5000  0.0000
Br  0.0000  0.5000  0.5000
Br  0.5000  0.0000  0.5000

Summary:
**Final energy**: -0.2040 Ry per atom
**ΔE_f (raw)**: 0.779 eV/atom
**Calculated volume**: 41.17 Å³/atom
**Magnetic moment**: 1.00 μB/atom
**Space group**: P4/mmm (123)

=====

(6)
NaThInBr6 | PBE-GGA | optimized geometry

Cell lengths 7.6173, 7.6173, 14.1862 Å; angles 90.00, 90.00, 120.00 degrees
Fractional positions:
Na  0.3333  0.6667  0.2500
Na  0.6667  0.3333  0.7500
Th  0.3333  0.6667  0.7500
Th  0.6667  0.3333  0.2500
In  0.0000  0.0000  0.0000
In  0.0000  0.0000  0.5000
Br  0.0162  0.3700  0.6343
Br  0.0162  0.6462  0.8657
Br  0.3538  0.3700  0.8657
Br  0.3538  0.9838  0.6343
Br  0.3700  0.0162  0.1343
Br  0.3700  0.3538  0.3657
Br  0.6300  0.6462  0.6343
Br  0.6300  0.9838  0.8657
Br  0.6462  0.0162  0.3657
Br  0.6462  0.6300  0.1343
Br  0.9838  0.3538  0.1343
Br  0.9838  0.6300  0.3657

Summary:
**Final energy**: -0.2842 Ry per atom
**ΔE_f (raw)**: -1.476 eV/atom
**Calculated volume**: 39.60 Å³/atom
**Magnetic moment**: 0.00 μB/atom
**Space group**: P-31c (163)

=====

(7)
NaTiInBr6 | PBE-GGA | optimized geometry

Cell lengths 7.2802, 7.2802, 6.7003 Å; angles 90.03, 90.03, 120.08 degrees
Fractional positions:
Na  0.0000  0.0000  0.0000
Ti  0.6669  0.3331  0.0000
In  0.3336  0.6664  0.5000
Br  0.3766  0.0562  0.7789
Br  0.3774  0.3198  0.2215
Br  0.6803  0.0568  0.2213
Br  0.6802  0.6226  0.7785
Br  0.9432  0.3197  0.7787
Br  0.9438  0.6234  0.2211

Summary:
**Final energy**: -0.2619 Ry per atom
**ΔE_f (raw)**: -1.120 eV/atom
**Calculated volume**: 34.14 Å³/atom
**Magnetic moment**: 0.00 μB/atom
**Space group**: C2 (5)

=====

(8)
NaTl2In3Br6 | PBE-GGA | optimized geometry

Cell lengths 8.0846, 8.0846, 8.0586 Å; angles 99.60, 99.60, 119.67 degrees
Fractional positions:
Na  0.0000  0.0000  0.0000
Tl  0.3326  0.6674  0.0000
Tl  0.6674  0.3326  0.0000
In  0.1663  0.8337  0.5000
In  0.5000  0.5000  0.5000
In  0.8337  0.1663  0.5000
Br  0.0773  0.3845  0.2342
Br  0.2267  0.2267  0.7483
Br  0.3845  0.0773  0.2342
Br  0.6155  0.9227  0.7658
Br  0.7733  0.7733  0.2517
Br  0.9227  0.6155  0.7658

Summary:
**Final energy**: -0.2123 Ry per atom
**ΔE_f (raw)**: -0.863 eV/atom
**Calculated volume**: 35.98 Å³/atom
**Magnetic moment**: 0.00 μB/atom
**Space group**: C2/m (12)

=====

- What is the ΔE_f (raw) in the seventh record?
  -1.120 eV/atom

=====

- Look up the final energy of the third one.
  -0.2420 Ry per atom

=====

- What is the final energy in the sixth record?
  -0.2842 Ry per atom

=====

- Among the records above, which one has the highest final energy?
  NaInTcBr2